1.
# Pm8TlOs2

A relaxed Pm8TlOs2 crystal (PBE-GGA, the Alexandria database).

Structure (CIF):
```
data_Pm8TlOs2
_cell_length_a 5.604
_cell_length_b 8.090
_cell_length_c 8.090
_cell_angle_alpha 112.31
_cell_angle_beta 97.09
_cell_angle_gamma 97.09
_symmetry_space_group_name_H-M 'P 1'
_symmetry_Int_Tables_number 1
loop_
_symmetry_equiv_pos_as_xyz
'x,y,z'
loop_
_atom_site_label
_atom_site_fract_x
_atom_site_fract_y
_atom_site_fract_z
Pm1 0.573 0.330 0.066
Pm2 0.796 0.618 0.618
Pm3 0.573 0.066 0.330
Pm4 0.427 0.940 0.676
Pm5 0.000 0.752 0.254
Pm6 0.427 0.676 0.940
Pm7 0.204 0.388 0.388
Pm8 0.000 0.254 0.752
Tl1 0.000 0.003 0.003
Os1 0.500 0.690 0.316
Os2 0.500 0.316 0.690
```

Calculated values
ΔH_f (0 K) = -103 meV per atom
SG = C2/m (12)
Fermi-level density of states = 1.023 states/eV/atom

=====

2.
# SmSc3Ga2

A relaxed SmSc3Ga2 crystal (PBE-GGA, the Alexandria database).

Structure (CIF):
```
data_SmSc3Ga2
_cell_length_a 4.454
_cell_length_b 8.698
_cell_length_c 8.834
_cell_angle_alpha 120.53
_cell_angle_beta 90.00
_cell_angle_gamma 104.84
_symmetry_space_group_name_H-M 'P 1'
_symmetry_Int_Tables_number 1
loop_
_symmetry_equiv_pos_as_xyz
'x,y,z'
loop_
_atom_site_label
_atom_site_fract_x
_atom_site_fract_y
_atom_site_fract_z
Sc1 0.330 0.660 0.522
Sc2 0.670 0.340 0.478
Sc3 0.330 0.661 0.138
Sc4 0.670 0.339 0.862
Sc5 0.000 0.999 0.668
Sc6 0.000 0.001 0.332
Sm1 0.872 0.745 0.873
Sm2 0.128 0.255 0.127
Ga1 0.500 0.000 0.855
Ga2 0.500 0.000 0.145
Ga3 0.798 0.597 0.298
Ga4 0.202 0.403 0.702
```

Calculated values
ΔH_f (0 K) = -396 meV per atom
Offset from the most stable computed form = 0.28 eV/f.u.
SG = C2/m (12)
Fermi-level density of states = 0.779 states/eV/atom

=====

3.
# Cs2CdCl2

A relaxed Cs2CdCl2 crystal (PBE-GGA, the Alexandria database).

Structure (CIF):
```
data_Cs2CdCl2
_cell_length_a 6.533
_cell_length_b 6.533
_cell_length_c 8.438
_cell_angle_alpha 67.23
_cell_angle_beta 67.23
_cell_angle_gamma 90.00
_symmetry_space_group_name_H-M 'P 1'
_symmetry_Int_Tables_number 1
loop_
_symmetry_equiv_pos_as_xyz
'x,y,z'
loop_
_atom_site_label
_atom_site_fract_x
_atom_site_fract_y
_atom_site_fract_z
Cs1 0.688 0.688 0.623
Cs2 0.312 0.312 0.377
Cl1 0.250 0.750 0.500
Cl2 0.750 0.250 0.500
Cd1 0.000 0.000 0.000
```

Calculated values
Formation energy (no corrections) = -1.32 eV/atom
SG = I4/mmm (139)
Fermi-level density of states = 0.000 states/eV/atom

=====

4.
# Ac3Cd2Hg6

A relaxed Ac3Cd2Hg6 crystal (PBE-GGA, the Alexandria database).

Structure (CIF):
```
data_Ac3Cd2Hg6
_cell_length_a 4.460
_cell_length_b 4.460
_cell_length_c 17.374
_cell_angle_alpha 97.37
_cell_angle_beta 97.37
_cell_angle_gamma 90.00
_symmetry_space_group_name_H-M 'P 1'
_symmetry_Int_Tables_number 1
loop_
_symmetry_equiv_pos_as_xyz
'x,y,z'
loop_
_atom_site_label
_atom_site_fract_x
_atom_site_fract_y
_atom_site_fract_z
Hg1 0.925 0.425 0.850
Hg2 0.275 0.275 0.549
Hg3 0.425 0.925 0.850
Hg4 0.575 0.075 0.150
Hg5 0.725 0.725 0.451
Hg6 0.075 0.575 0.150
Ac1 0.822 0.822 0.645
Ac2 0.178 0.178 0.355
Ac3 0.000 0.000 0.000
Cd1 0.365 0.365 0.730
Cd2 0.635 0.635 0.270
```

Calculated values
ΔH_f (0 K) = -254 meV per atom
SG = I4/mmm (139)
Fermi-level density of states = 0.799 states/eV/atom